First-principles (PBE) data for a geometry-optimized AcCeGa2 structure, as listed in the Alexandria database.

Lattice parameters (Å, degrees): 6.1550 4.5051 8.5478 90.00 97.75 90.00
Closest atoms and distances in Å follow each position.
Space group P2_1/m (No. 11)
One atom of each set of equivalent atoms:
Ac 0.2136 0.2500 0.3263  6 Ga 3.26-3.59
Ce 0.3689 0.7500 0.9709  2 Ce 2.78, 4 Ga 2.91-3.04
Ga 0.0496 0.2500 0.9066  3 Ga 2.66-2.87, 1 Ce 2.91
Ga 0.3484 0.2500 0.7086  1 Ga 2.66

---

First-principles (PBE) data for a geometry-optimized Ac3Ce4Ga4 structure, as listed in the Alexandria database.

Lattice parameters (Å, degrees): 4.9101 8.1084 16.4259 90.00 90.00 90.00
Closest atoms and distances in Å follow each position.
Space group Immm (No. 71)
One atom of each set of equivalent atoms:
Ac 0.0000 0.0000 0.0000  6 Ga 3.63-3.80, 8 Ce 3.91
Ac 0.0000 0.5000 0.1160  6 Ga 3.40-3.51, 4 Ce 3.74
Ce 0.0000 0.3325 0.3338  1 Ce 2.72, 3 Ga 3.00-3.03
Ga 0.0000 0.0000 0.2315  6 Ce 3.00-3.18
Ga 0.0000 0.1696 0.5000  1 Ga 2.75, 2 Ce 3.03

---

First-principles (PBE) data for a geometry-optimized AcCe12Ga6 structure, as listed in the Alexandria database.

Lattice parameters (Å, degrees): 13.0285 13.0285 10.8027 90.00 90.00 120.00
Closest atoms and distances in Å follow each position.
Space group R-3m (No. 166, hexagonal axes)
One atom of each set of equivalent atoms:
Ac 0.0000 0.0000 0.0000  18 Ce 4.12-4.38, 6 Ga 4.15
Ce 0.0000 0.3966 0.5000  1 Ce 2.69, 2 Ga 2.92
Ce 0.0887 0.1773 0.3338  4 Ga 3.07-3.40, 2 Ce 3.32
Ga 0.0261 0.5131 0.2504  7 Ce 2.92-3.14

---

First-principles (PBE) data for a geometry-optimized AcCe2Ga4 structure, as listed in the Alexandria database.

Lattice parameters (Å, degrees): 4.2598 4.4846 18.9371 90.00 90.00 90.00
Closest atoms and distances in Å follow each position.
Space group Immm (No. 71)
One atom of each set of equivalent atoms:
Ac 0.0000 0.0000 0.0000  12 Ga 3.36-3.57
Ce 0.0000 0.5000 0.3123  7 Ga 3.14-3.19
Ga 0.0000 0.0000 0.4311  3 Ga 2.59-2.61
Ga 0.0000 0.5000 0.1465  2 Ga 2.59

---

no.,formation energy (meV per atom),calculated density (g/cm³)
1,-325,7.163
2,-311,7.721
3,-177,7.299
4,-523,7.217